[1]
{"formula": "U2Mn3Al6Fe", "functional": "PBE-GGA", "state": "optimized geometry", "lattice": [[4.535, -3.433, 0.000], [4.535, 3.433, 0.000], [-0.052, 0.000, 6.212]], "species": ["U", "U", "Mn", "Mn", "Mn", "Al", "Al", "Al", "Al", "Al", "Al", "Fe"], "frac_coords": [[0.134, 0.134, 0.311], [0.866, 0.866, 0.689], [0.000, 0.000, 0.000], [0.000, 0.500, 0.500], [0.500, 0.000, 0.500], [0.217, 0.607, 0.174], [0.281, 0.281, 0.810], [0.393, 0.783, 0.826], [0.607, 0.217, 0.174], [0.719, 0.719, 0.190], [0.783, 0.393, 0.826], [0.500, 0.500, 0.500]], "sg": "C2/m"}

[2]
{"formula": "U2MnAl6Fe3", "functional": "PBE-GGA", "state": "optimized geometry", "lattice": [[4.569, -3.792, 0.000], [4.569, 3.792, 0.000], [-1.529, 0.000, 5.746]], "species": ["U", "U", "Mn", "Al", "Al", "Al", "Al", "Al", "Al", "Fe", "Fe", "Fe"], "frac_coords": [[0.227, 0.227, 0.262], [0.773, 0.773, 0.738], [0.500, 0.500, 0.500], [0.147, 0.733, 0.259], [0.267, 0.853, 0.741], [0.351, 0.351, 0.807], [0.649, 0.649, 0.193], [0.733, 0.147, 0.259], [0.853, 0.267, 0.741], [0.000, 0.000, 0.000], [0.000, 0.500, 0.500], [0.500, 0.000, 0.500]], "sg": "C2/m"}

[3]
{"formula": "Zr2Mn2AlFe5", "functional": "PBE-GGA", "state": "optimized geometry", "lattice": [[8.690, 0.000, 0.000], [0.000, 8.690, 0.000], [0.000, 0.000, 3.686]], "species": ["Zr", "Zr", "Zr", "Zr", "Mn", "Mn", "Mn", "Mn", "Al", "Al", "Fe", "Fe", "Fe", "Fe", "Fe", "Fe", "Fe", "Fe", "Fe", "Fe"], "frac_coords": [[0.184, 0.316, 0.000], [0.316, 0.816, 0.000], [0.684, 0.184, 0.000], [0.816, 0.684, 0.000], [0.112, 0.612, 0.000], [0.388, 0.112, 0.000], [0.612, 0.888, 0.000], [0.888, 0.388, 0.000], [0.000, 0.000, 0.000], [0.500, 0.500, 0.000], [0.000, 0.500, 0.500], [0.058, 0.793, 0.500], [0.207, 0.058, 0.500], [0.293, 0.558, 0.500], [0.442, 0.293, 0.500], [0.500, 0.000, 0.500], [0.558, 0.707, 0.500], [0.707, 0.442, 0.500], [0.793, 0.942, 0.500], [0.942, 0.207, 0.500]], "sg": "P4/mbm"}

[4]
{"formula": "AlFeMo", "functional": "PBE-GGA", "state": "optimized geometry", "lattice": [[3.321, 0.000, 0.000], [0.000, 4.147, 0.000], [0.000, 0.000, 12.154]], "species": ["Al", "Al", "Al", "Al", "Fe", "Fe", "Fe", "Fe", "Mo", "Mo", "Mo", "Mo"], "frac_coords": [[0.000, 0.000, 0.000], [0.000, 0.500, 0.500], [0.500, 0.000, 0.500], [0.500, 0.500, 0.000], [0.000, 0.000, 0.654], [0.000, 0.500, 0.154], [0.500, 0.000, 0.154], [0.500, 0.500, 0.654], [0.000, 0.000, 0.323], [0.000, 0.500, 0.823], [0.500, 0.000, 0.823], [0.500, 0.500, 0.323]], "relative_energy_mev_per_atom": 152, "sg": "Fmm2"}

no.,ΔE_f (kcal/mol of atoms)
1,-1.79
2,-2.68
3,0.07
4,-1.39